# PBE GaCuSi, optimized geometry
data_GaCuSi
_chemical_formula_sum 'Ga2 Cu2 Si2'
_space_group_name_H-M_alt 'P 1'
_space_group_IT_number 1
_cell_length_a 3.986
_cell_length_b 4.446
_cell_length_c 6.017
_cell_angle_alpha 75.29
_cell_angle_beta 74.71
_cell_angle_gamma 84.23
loop_
_space_group_symop_operation_xyz
'x,y,z'
loop_
_atom_site_label
_atom_site_type_symbol
_atom_site_fract_x
_atom_site_fract_y
_atom_site_fract_z
Ga1 Ga 0.000 0.000 0.000
Ga2 Ga 0.479 0.463 0.093
Cu1 Cu 0.608 0.921 0.751
Cu2 Cu 0.898 0.253 0.346
Si1 Si 0.032 0.712 0.451
Si2 Si 0.472 0.461 0.646
# - Fermi-level density of states (states/eV/atom) = 0.270
# - E_tot (eV per atom) = -4.118
# - formation energy from raw total energies (eV per atom) = 0.064

=====

# PBE Ce6PdRh2, optimized geometry
data_Ce6PdRh2
_chemical_formula_sum 'Ce12 Pd2 Rh4'
_space_group_name_H-M_alt 'C 1 2/m 1'
_space_group_IT_number 12
_cell_length_a 10.068
_cell_length_b 5.202
_cell_length_c 9.051
_cell_angle_alpha 90.00
_cell_angle_beta 123.01
_cell_angle_gamma 90.00
loop_
_space_group_symop_operation_xyz
'x,y,z'
'-x,-y,-z'
'-x,y,-z'
'x,-y,z'
'x+1/2,y+1/2,z'
'-x+1/2,-y+1/2,-z'
'-x+1/2,y+1/2,-z'
'x+1/2,-y+1/2,z'
loop_
_atom_site_label
_atom_site_type_symbol
_atom_site_fract_x
_atom_site_fract_y
_atom_site_fract_z
Ce1 Ce 0.008 0.000 0.339
Ce2 Ce 0.162 0.500 0.000
Ce3 Ce 0.175 0.500 0.661
Pd1 Pd 0.000 0.000 0.000
Rh1 Rh 0.163 0.500 0.329
# - Fermi-level density of states (states/eV/atom) = 2.167
# - E_tot (eV per atom) = -6.613
# - E_form (meV per atom) = -446

=====

What is the E_tot in the second record?
-6.613 eV per atom

=====

The lowest Fermi-level density of states belongs to which entry?
GaCuSi

=====

Fermi-level density of states of number 2 (Ce6PdRh2)?
2.167 states/eV/atom

=====

Among the records above, which one has the lowest E_tot?
Ce6PdRh2